Entry 1:
{
  "formula": "HgPtS2",
  "functional": "PBE-GGA",
  "state": "relaxed",
  "lattice_angstrom": [[3.836, 0.000, 0.000], [-1.918, 3.322, 0.000], [0.000, 0.000, 6.916]],
  "species": ["Hg", "Pt", "S", "S"],
  "fractional_positions": [[0.000, 0.000, 0.000], [0.333, 0.667, 0.468], [0.333, 0.667, 0.796], [0.667, 0.333, 0.341]],
  "dft_energy_ev_per_atom": -3.549,
  "space_group": "No. 156"
}



Entry 2:
{
  "formula": "ErNp2S6",
  "functional": "PBE-GGA",
  "state": "relaxed",
  "lattice_angstrom": [[7.127, 0.000, 0.000], [-3.564, 6.173, 0.000], [0.000, 0.000, 4.201]],
  "species": ["Er", "Np", "Np", "S", "S", "S", "S", "S", "S"],
  "fractional_positions": [[0.000, 0.000, 0.000], [0.333, 0.667, 0.214], [0.667, 0.333, 0.786], [0.080, 0.382, 0.739], [0.302, 0.920, 0.739], [0.382, 0.302, 0.261], [0.618, 0.698, 0.739], [0.698, 0.080, 0.261], [0.920, 0.618, 0.261]],
  "dft_energy_ev_per_atom": -7.449,
  "space_group": "No. 147"
}



Entry 3:
{
  "formula": "Ho2ErMg",
  "functional": "PBE-GGA",
  "state": "relaxed",
  "lattice_angstrom": [[1.730, 0.999, 11.361], [-1.730, 0.999, 11.361], [0.000, -1.998, 11.361]],
  "species": ["Ho", "Ho", "Er", "Mg"],
  "fractional_positions": [[0.000, 0.000, 0.000], [0.166, 0.166, 0.166], [0.583, 0.583, 0.583], [0.416, 0.416, 0.416]],
  "dft_energy_ev_per_atom": -3.786,
  "space_group": "No. 160"
}



Entry 4:
{
  "formula": "Ce2ScPN5",
  "functional": "PBE-GGA",
  "state": "relaxed",
  "lattice_angstrom": [[6.475, 0.000, 0.000], [0.000, 6.475, 0.000], [0.000, 0.000, 5.561]],
  "species": ["Ce", "Ce", "Ce", "Ce", "Sc", "Sc", "P", "P", "N", "N", "N", "N", "N", "N", "N", "N", "N", "N"],
  "fractional_positions": [[0.179, 0.321, 0.000], [0.321, 0.821, 0.000], [0.679, 0.179, 0.000], [0.821, 0.679, 0.000], [0.000, 0.000, 0.500], [0.500, 0.500, 0.500], [0.000, 0.500, 0.500], [0.500, 0.000, 0.500], [0.000, 0.000, 0.000], [0.135, 0.635, 0.284], [0.135, 0.635, 0.716], [0.365, 0.135, 0.284], [0.365, 0.135, 0.716], [0.500, 0.500, 0.000], [0.635, 0.865, 0.284], [0.635, 0.865, 0.716], [0.865, 0.365, 0.284], [0.865, 0.365, 0.716]],
  "dft_energy_ev_per_atom": -8.050,
  "space_group": "No. 127"
}



Entry 5:
{
  "formula": "Fe2CoPt",
  "functional": "PBE-GGA",
  "state": "relaxed",
  "lattice_angstrom": [[2.676, 0.000, 0.000], [0.000, 3.577, 0.000], [-0.127, 0.000, 5.340]],
  "species": ["Fe", "Fe", "Co", "Pt"],
  "fractional_positions": [[0.013, 0.000, 0.268], [0.987, 0.000, 0.732], [0.500, 0.500, 0.500], [0.500, 0.500, 0.000]],
  "dft_energy_ev_per_atom": -7.609,
  "space_group": "No. 10"
}